This record from Alexandria via LeMat-Bulk describes a geometry-optimized Ba2SnSbTe structure. The functional is PBE.

Cell lengths 6.6119, 6.6119, 5.7561 Å; angles 90.00, 90.00, 90.00 degrees
With the nearest neighbours (Å) after each atom.
Space group P4/mmm (No. 123)
Unique sites:
Ba 0.0000 0.5000 0.0000 [2 per cell]  2 Sb 3.31
Sn 0.0000 0.0000 0.5000 [1 per cell]  8 Ba 4.38, 4 Te 4.68
Sb 0.5000 0.5000 0.0000 [1 per cell]  2 Te 2.88
Te 0.5000 0.5000 0.5000 [1 per cell]  2 Sb 2.88

Results
**E_form (uncorrected)**: -214 meV/atom
**Uncorrected energy**: -16.2 eV/f.u.